Record 1
TbEu2 after structural relaxation. Source: the Alexandria database, functional PBE-GGA.

POSCAR file:
```
TbEu2
1.0
-1.8671 1.8671 8.0832
1.8671 -1.8671 8.0832
1.8671 1.8671 -8.0832
Tb Eu
1 2
Direct
0.0000 0.0000 0.0000
0.3382 0.3382 0.0000
0.6618 0.6618 0.0000
```

Energy above the most stable polymorph in this dataset, kcal/mol of atoms: 0.000
Uncorrected energy, eV/f.u.: -24.93
Crystal system: tetragonal

Record 2
Ca3DyZn4 after structural relaxation. Source: the Alexandria database, functional PBE-GGA.

POSCAR file:
```
Ca3DyZn4
1.0
3.6491 0.0000 0.0000
0.0000 3.6491 0.0000
0.0000 0.0000 14.5744
Ca Dy Zn
3 1 4
Direct
0.0000 0.0000 0.0000
0.0000 0.0000 0.2539
0.0000 0.0000 0.7461
0.0000 0.0000 0.5000
0.5000 0.5000 0.1266
0.5000 0.5000 0.3858
0.5000 0.5000 0.6142
0.5000 0.5000 0.8734
```

Uncorrected energy, eV/f.u.: -17.81
Crystal system: tetragonal

Record 3
CaPu2Au3 after structural relaxation. Source: the Alexandria database, functional PBE-GGA.

POSCAR file:
```
CaPu2Au3
1.0
3.5435 0.0000 0.0000
0.0000 3.5435 0.0000
0.0000 0.0000 11.4760
Ca Pu Au
1 2 3
Direct
0.0000 0.0000 0.0000
0.0000 0.0000 0.3325
0.0000 0.0000 0.6675
0.5000 0.5000 0.1656
0.5000 0.5000 0.5000
0.5000 0.5000 0.8344
```

Uncorrected energy, eV/f.u.: -43.63
Crystal system: tetragonal

Record 4
Sr2CdGa4Ir3 after structural relaxation. Source: the Alexandria database, functional PBE-GGA.

POSCAR file:
```
Sr2CdGa4Ir3
1.0
4.3501 0.0000 0.0000
0.0000 4.3501 0.0000
0.0000 0.0000 10.7857
Sr Cd Ga Ir
2 1 4 3
Direct
0.0000 0.5000 0.2419
0.5000 0.0000 0.7581
0.0000 0.0000 0.5000
0.0000 0.0000 0.0000
0.0000 0.5000 0.6408
0.5000 0.0000 0.3592
0.5000 0.5000 0.0000
0.0000 0.5000 0.8750
0.5000 0.0000 0.1250
0.5000 0.5000 0.5000
```

Uncorrected energy, eV/f.u.: -47.54
Crystal system: tetragonal

Record 5
Ac12TiPb6 after structural relaxation. Source: the Alexandria database, functional PBE-GGA.

POSCAR file:
```
Ac12TiPb6
1.0
7.3040 4.2170 4.4792
-7.3040 4.2170 4.4792
0.0000 -8.4340 4.4792
Ac Ti Pb
12 1 6
Direct
0.0149 0.6801 0.9430
0.0570 0.9851 0.3199
0.1915 0.4216 0.5597
0.3199 0.0570 0.9851
0.4216 0.5597 0.1915
0.4403 0.8085 0.5784
0.5597 0.1915 0.4216
0.5784 0.4403 0.8085
0.6801 0.9430 0.0149
0.8085 0.5784 0.4403
0.9430 0.0149 0.6801
0.9851 0.3199 0.0570
0.0000 0.0000 0.0000
0.1232 0.6436 0.3141
0.3141 0.1232 0.6436
0.3564 0.6859 0.8768
0.6436 0.3141 0.1232
0.6859 0.8768 0.3564
0.8768 0.3564 0.6859
```

Uncorrected energy, eV/f.u.: -81.64
Crystal system: trigonal

Record 6
Os2C after structural relaxation. Source: the Alexandria database, functional PBE-GGA.

POSCAR file:
```
Os2C
1.0
4.9929 -1.4021 0.0000
4.9929 1.4021 0.0000
-0.6991 0.0000 5.0389
Os C
4 2
Direct
0.0500 0.0500 0.2686
0.3158 0.3158 0.3153
0.6842 0.6842 0.6847
0.9500 0.9500 0.7314
0.3398 0.3398 0.9146
0.6602 0.6602 0.0854
```

Energy above the most stable polymorph in this dataset, kcal/mol of atoms: 3.629
Uncorrected energy, eV/f.u.: -29.70
Crystal system: monoclinic

Record 7
Zr2CoCuPd after structural relaxation. Source: the Alexandria database, functional PBE-GGA.

POSCAR file:
```
Zr2CoCuPd
1.0
6.5000 0.0000 0.0000
0.0000 3.9346 0.0000
-2.3877 0.0000 6.6250
Zr Co Cu Pd
4 2 2 2
Direct
0.0240 0.2500 0.2054
0.3594 0.7500 0.6236
0.6406 0.2500 0.3764
0.9760 0.7500 0.7946
0.0826 0.2500 0.6017
0.9174 0.7500 0.3983
0.3469 0.2500 0.9483
0.6531 0.7500 0.0517
0.3230 0.7500 0.2028
0.6770 0.2500 0.7972
```

Uncorrected energy, eV/f.u.: -35.33
Crystal system: monoclinic

Record 8
Ac4ThHg5 after structural relaxation. Source: the Alexandria database, functional PBE-GGA.

POSCAR file:
```
Ac4ThHg5
1.0
4.0029 0.0000 0.0000
0.0000 4.0029 0.0000
0.0000 0.0000 19.9533
Ac Th Hg
4 1 5
Direct
0.0000 0.0000 0.1027
0.0000 0.0000 0.3086
0.0000 0.0000 0.6914
0.0000 0.0000 0.8973
0.0000 0.0000 0.5000
0.5000 0.5000 0.0000
0.5000 0.5000 0.2050
0.5000 0.5000 0.4113
0.5000 0.5000 0.5887
0.5000 0.5000 0.7950
```

Uncorrected energy, eV/f.u.: -29.42
Crystal system: tetragonal

Record 9
CeYGeIr after structural relaxation. Source: the Alexandria database, functional PBE-GGA.

POSCAR file:
```
CeYGeIr
1.0
4.3578 0.0000 0.0000
0.0000 2.0665 5.0739
0.0000 -2.0665 5.0739
Ce Y Ge Ir
1 1 1 1
Direct
0.0000 0.0000 0.0000
0.5000 0.7170 0.7170
0.5000 0.4281 0.4281
0.0000 0.2729 0.2729
```

Energy above the most stable polymorph in this dataset, kcal/mol of atoms: 0.000
Uncorrected energy, eV/f.u.: -29.09
Crystal system: orthorhombic

Record 10
Ca2SnSbPt6 after structural relaxation. Source: the Alexandria database, functional PBE-GGA.

POSCAR file:
```
Ca2SnSbPt6
1.0
0.0000 4.9955 4.9955
4.9955 0.0000 4.9955
4.9955 4.9955 0.0000
Ca Sn Sb Pt
2 1 1 6
Direct
0.2500 0.2500 0.2500
0.7500 0.7500 0.7500
0.0000 0.0000 0.0000
0.5000 0.5000 0.5000
0.2513 0.2513 0.7487
0.2513 0.7487 0.2513
0.2513 0.7487 0.7487
0.7487 0.2513 0.2513
0.7487 0.2513 0.7487
0.7487 0.7487 0.2513
```

Uncorrected energy, eV/f.u.: -48.68
Crystal system: cubic

Record 11
Tb2Dy6TmSc after structural relaxation. Source: the Alexandria database, functional PBE-GGA.

POSCAR file:
```
Tb2Dy6TmSc
1.0
4.4927 -7.3936 0.0000
4.4927 7.3936 0.0000
-1.3148 0.0000 9.3497
Tb Dy Tm Sc
4 12 2 2
Direct
0.1994 0.3014 0.0457
0.3014 0.1994 0.5457
0.6986 0.8006 0.4543
0.8006 0.6986 0.9543
0.0080 0.5677 0.1902
0.1259 0.7521 0.5554
0.2479 0.8741 0.9446
0.2925 0.5042 0.3827
0.4323 0.9920 0.3098
0.4958 0.7075 0.1173
0.5042 0.2925 0.8827
0.5677 0.0080 0.6902
0.7075 0.4958 0.6173
0.7521 0.1259 0.0554
0.8741 0.2479 0.4446
0.9920 0.4323 0.8098
0.0209 0.9791 0.2500
0.9791 0.0209 0.7500
0.4122 0.5878 0.7500
0.5878 0.4122 0.2500
```

Uncorrected energy, eV/f.u.: -46.43
Crystal system: monoclinic

Record 12
CaBiAu after structural relaxation. Source: the Alexandria database, functional PBE-GGA.

POSCAR file:
```
CaBiAu
1.0
4.8462 0.0000 0.0000
0.0000 4.9554 0.0000
-2.1178 0.0000 6.6493
Ca Bi Au
2 2 2
Direct
0.1280 0.2500 0.2237
0.8720 0.7500 0.7763
0.3813 0.2500 0.7933
0.6187 0.7500 0.2067
0.2500 0.7500 0.5082
0.7500 0.2500 0.4918
```

Uncorrected energy, eV/f.u.: -10.91
Crystal system: monoclinic

Record 13
AlIn4W after structural relaxation. Source: the Alexandria database, functional PBE-GGA.

POSCAR file:
```
AlIn4W
1.0
0.0000 4.0335 4.0335
4.0335 0.0000 4.0335
4.0335 4.0335 0.0000
Al In W
1 4 1
Direct
0.0000 0.0000 0.0000
0.1260 0.6247 0.6247
0.6247 0.1260 0.6247
0.6247 0.6247 0.1260
0.6247 0.6247 0.6247
0.2500 0.2500 0.2500
```

Uncorrected energy, eV/f.u.: -22.61
Crystal system: cubic

Record 14
VCoP2S after structural relaxation. Source: the Alexandria database, functional PBE-GGA.

POSCAR file:
```
VCoP2S
1.0
4.5521 0.0000 0.0000
0.0000 4.5521 0.0000
0.0000 0.0000 4.4278
V Co P S
1 1 2 1
Direct
0.0000 0.0000 0.0000
0.5000 0.5000 0.5000
0.0000 0.5000 0.0000
0.5000 0.0000 0.0000
0.0000 0.0000 0.5000
```

Energy above the most stable polymorph in this dataset, kcal/mol of atoms: 0.000
Uncorrected energy, eV/f.u.: -27.89
Crystal system: tetragonal

Record 15
LaSc2TlS after structural relaxation. Source: the Alexandria database, functional PBE-GGA.

POSCAR file:
```
LaSc2TlS
1.0
4.9195 0.0000 0.0000
0.0000 4.9195 0.0000
0.0000 0.0000 5.4484
La Sc Tl S
1 2 1 1
Direct
0.0000 0.0000 0.0000
0.0000 0.5000 0.5000
0.5000 0.0000 0.5000
0.5000 0.5000 0.0000
0.0000 0.0000 0.5000
```

Uncorrected energy, eV/f.u.: -28.11
Crystal system: tetragonal

Record 16
LiLaIrO6 after structural relaxation. Source: the Alexandria database, functional PBE-GGA.

POSCAR file:
```
LiLaIrO6
1.0
5.2236 0.0000 0.0000
-2.6118 4.5238 0.0000
0.0000 0.0000 5.1602
Li La Ir O
1 1 1 6
Direct
0.0000 0.0000 0.0000
0.6667 0.3333 0.5000
0.3333 0.6667 0.0000
0.0425 0.3637 0.2089
0.0425 0.6788 0.7911
0.3212 0.3637 0.7911
0.3212 0.9575 0.2089
0.6363 0.6788 0.2089
0.6363 0.9575 0.7911
```

Uncorrected energy, eV/f.u.: -59.16
Crystal system: trigonal

Record 17
CaPrTmTh after structural relaxation. Source: the Alexandria database, functional PBE-GGA.

POSCAR file:
```
CaPrTmTh
1.0
0.0000 4.0893 4.0893
4.0893 0.0000 4.0893
4.0893 4.0893 0.0000
Ca Pr Tm Th
1 1 1 1
Direct
0.0000 0.0000 0.0000
0.2500 0.2500 0.2500
0.5000 0.5000 0.5000
0.7500 0.7500 0.7500
```

Uncorrected energy, eV/f.u.: -17.87
Crystal system: cubic

Record 18
TlRhNF2 after structural relaxation. Source: the Alexandria database, functional PBE-GGA.

POSCAR file:
```
TlRhNF2
1.0
4.5198 0.0000 0.0000
0.0000 4.5198 0.0000
0.0000 0.0000 4.2234
Tl Rh N F
1 1 1 2
Direct
0.0000 0.0000 0.0000
0.5000 0.5000 0.5000
0.0000 0.0000 0.5000
0.0000 0.5000 0.0000
0.5000 0.0000 0.0000
```

Energy above the most stable polymorph in this dataset, kcal/mol of atoms: 25.765
Uncorrected energy, eV/f.u.: -19.53
Crystal system: tetragonal

Record 19
MnCdIr2 after structural relaxation. Source: the Alexandria database, functional PBE-GGA.

POSCAR file:
```
MnCdIr2
1.0
0.0000 3.1667 3.1667
3.1667 0.0000 3.1667
3.1667 3.1667 0.0000
Mn Cd Ir
1 1 2
Direct
0.0000 0.0000 0.0000
0.7500 0.7500 0.7500
0.2500 0.2500 0.2500
0.5000 0.5000 0.5000
```

Uncorrected energy, eV/f.u.: -26.54
Crystal system: cubic

Record 20
Li2ScMn after structural relaxation. Source: the Alexandria database, functional PBE-GGA.

POSCAR file:
```
Li2ScMn
1.0
2.9383 0.0000 0.0000
0.0000 5.0519 0.0000
-0.5225 0.0000 4.8368
Li Sc Mn
2 1 1
Direct
0.2247 0.0000 0.2707
0.7753 0.0000 0.7293
0.5000 0.5000 0.0000
0.0000 0.5000 0.5000
```

Energy above the most stable polymorph in this dataset, kcal/mol of atoms: 2.537
Uncorrected energy, eV/f.u.: -18.26
Crystal system: monoclinic